# 1
LaErCoRu: optimized geometry, GGA-PBE.

a = 4.861 Å, b = 4.861 Å, c = 4.861 Å
α = 60.00°, β = 60.00°, γ = 60.00°
Fractional positions:
La 0.500 0.500 0.500
Ru 0.250 0.250 0.250
Er 0.000 0.000 0.000
Co 0.750 0.750 0.750

Space-group type   No. 216
DFT formation energy   -0.126 eV per atom
Uncorrected energy   -6.594 eV per atom

---

# 2
LaYErCo: optimized geometry, GGA-PBE.

a = 3.508 Å, b = 4.722 Å, c = 7.885 Å
α = 107.44°, β = 116.40°, γ = 89.99°
Fractional positions:
La 0.745 0.312 0.187
Er 0.920 0.649 0.862
Y 0.562 0.971 0.504
Co 0.384 0.131 0.825

Space-group type   No. 38
DFT formation energy   -0.006 eV per atom
Uncorrected energy   -5.771 eV per atom

---

# 3
Li2Er2Co15: optimized geometry, GGA-PBE.

a = 6.258 Å, b = 6.258 Å, c = 6.258 Å
α = 83.59°, β = 83.59°, γ = 83.59°
Fractional positions:
Co 0.651 0.157 0.651
Co 0.349 0.349 0.843
Co 0.000 0.500 0.000
Co 0.000 0.293 0.707
Co 0.651 0.651 0.157
Co 0.707 0.000 0.293
Co 0.707 0.293 0.000
Co 0.500 0.000 0.000
Co 0.293 0.707 0.000
Co 0.000 0.000 0.500
Co 0.349 0.843 0.349
Co 0.843 0.349 0.349
Co 0.000 0.707 0.293
Co 0.293 0.000 0.707
Co 0.157 0.651 0.651
Li 0.903 0.903 0.903
Li 0.097 0.097 0.097
Er 0.345 0.345 0.345
Er 0.655 0.655 0.655

Space-group type   No. 166
DFT formation energy   -0.085 eV per atom
Uncorrected energy   -6.376 eV per atom

---

# 4
LiEr4Co2: optimized geometry, GGA-PBE.

a = 8.751 Å, b = 8.526 Å, c = 6.758 Å
α = 117.95°, β = 115.84°, γ = 108.21°
Fractional positions:
Er 0.506 0.613 0.344
Er 0.455 0.149 0.178
Er 0.215 0.491 0.719
Er 0.842 0.228 0.788
Er 0.951 0.679 0.810
Er 0.738 0.958 0.130
Er 0.893 0.697 0.289
Er 0.398 0.174 0.666
Co 0.365 0.842 0.250
Co 0.116 0.153 0.743
Co 0.809 0.338 0.229
Co 0.563 0.523 0.697
Li 0.271 0.714 0.500
Li 0.124 0.191 0.157

Space-group type   No. 1
DFT formation energy   -0.093 eV per atom
Uncorrected energy   -5.004 eV per atom

---

Computed values of theoretical density (unit: g/cm3) for the preceding records, in sequence: 9.53, 6.84, 8.50, 8.66.